[1]
{"formula": "TbTlAg", "functional": "PBE", "state": "optimized geometry", "lattice_angstrom": [[5.802, -1.712, 0.000], [5.802, 1.712, 0.000], [-2.239, 0.000, 7.803]], "species": ["Tb", "Tb", "Tl", "Tl", "Ag", "Ag"], "fractional_positions": [[0.187, 0.187, 0.156], [0.813, 0.813, 0.844], [0.064, 0.064, 0.748], [0.936, 0.936, 0.252], [0.358, 0.358, 0.537], [0.642, 0.642, 0.463]], "dft_energy_ev_per_atom": -3.317, "dos_at_fermi_per_ev_fu": 2.85, "ef_ev_per_atom": -0.0344, "magnetic_moment_mub_per_fu": 0.00}

[2]
{"formula": "Tb2Tl2Ag", "functional": "PBE", "state": "optimized geometry", "lattice_angstrom": [[7.620, 0.000, 0.000], [0.000, 7.620, 0.000], [0.000, 0.000, 4.596]], "species": ["Tb", "Tb", "Tb", "Tb", "Tl", "Tl", "Tl", "Tl", "Ag", "Ag"], "fractional_positions": [[0.166, 0.334, 0.000], [0.334, 0.834, 0.000], [0.666, 0.166, 0.000], [0.834, 0.666, 0.000], [0.141, 0.641, 0.500], [0.359, 0.141, 0.500], [0.641, 0.859, 0.500], [0.859, 0.359, 0.500], [0.000, 0.000, 0.500], [0.500, 0.500, 0.500]], "dft_energy_ev_per_atom": -3.617, "dos_at_fermi_per_ev_fu": 4.10, "de_polymorph_kj_per_mol_atoms": 2.1, "ef_ev_per_atom": -0.2481, "magnetic_moment_mub_per_fu": 0.00}

[3]
{"formula": "Tb6TlAg2", "functional": "PBE", "state": "optimized geometry", "lattice_angstrom": [[-4.966, 5.005, 5.156], [4.966, -5.005, 5.156], [4.966, 5.005, -5.156]], "species": ["Tb", "Tb", "Tb", "Tb", "Tb", "Tb", "Tb", "Tb", "Tb", "Tb", "Tb", "Tb", "Tl", "Tl", "Ag", "Ag", "Ag", "Ag"], "fractional_positions": [[0.040, 0.823, 0.217], [0.244, 0.540, 0.297], [0.244, 0.947, 0.703], [0.273, 0.319, 0.591], [0.273, 0.681, 0.954], [0.395, 0.177, 0.217], [0.605, 0.823, 0.783], [0.727, 0.319, 0.046], [0.727, 0.681, 0.409], [0.756, 0.053, 0.297], [0.756, 0.460, 0.703], [0.960, 0.177, 0.783], [0.000, 0.500, 0.500], [0.500, 0.000, 0.500], [0.000, 0.144, 0.144], [0.000, 0.856, 0.856], [0.367, 0.367, 0.000], [0.633, 0.633, 0.000]], "dft_energy_ev_per_atom": -4.169, "dos_at_fermi_per_ev_fu": 9.52, "ef_ev_per_atom": -0.1859, "magnetic_moment_mub_per_fu": 0.00}

[4]
{"formula": "Tb5TlAg4", "functional": "PBE", "state": "optimized geometry", "lattice_angstrom": [[3.636, 0.000, 0.000], [0.000, 3.636, 0.000], [0.000, 0.000, 18.913]], "species": ["Tb", "Tb", "Tb", "Tb", "Tb", "Tl", "Ag", "Ag", "Ag", "Ag"], "fractional_positions": [[0.000, 0.000, 0.000], [0.000, 0.000, 0.195], [0.000, 0.000, 0.390], [0.000, 0.000, 0.610], [0.000, 0.000, 0.805], [0.500, 0.500, 0.500], [0.500, 0.500, 0.097], [0.500, 0.500, 0.292], [0.500, 0.500, 0.708], [0.500, 0.500, 0.903]], "dft_energy_ev_per_atom": -4.010, "dos_at_fermi_per_ev_fu": 8.54, "ef_ev_per_atom": -0.3181, "magnetic_moment_mub_per_fu": 0.13}

[5]
{"formula": "Tb4TlAg3", "functional": "PBE", "state": "optimized geometry", "lattice_angstrom": [[2.609, 1.507, 8.541], [-2.609, 1.507, 8.541], [0.000, -3.013, 8.541]], "species": ["Tb", "Tb", "Tb", "Tb", "Tl", "Ag", "Ag", "Ag"], "fractional_positions": [[0.121, 0.121, 0.121], [0.372, 0.372, 0.372], [0.628, 0.628, 0.628], [0.879, 0.879, 0.879], [0.500, 0.500, 0.500], [0.000, 0.000, 0.000], [0.248, 0.248, 0.248], [0.752, 0.752, 0.752]], "dft_energy_ev_per_atom": -4.001, "dos_at_fermi_per_ev_fu": 5.52, "de_polymorph_kj_per_mol_atoms": 0.0, "ef_ev_per_atom": -0.3212, "magnetic_moment_mub_per_fu": 0.00}

[6]
{"formula": "Tb2Tl2Ag", "functional": "PBE", "state": "optimized geometry", "lattice_angstrom": [[5.670, -2.384, 0.000], [5.670, 2.384, 0.000], [-4.495, 0.000, 9.819]], "species": ["Tb", "Tb", "Tb", "Tb", "Tl", "Tl", "Tl", "Tl", "Ag", "Ag"], "fractional_positions": [[0.029, 0.029, 0.344], [0.169, 0.169, 0.095], [0.831, 0.831, 0.905], [0.971, 0.971, 0.656], [0.359, 0.359, 0.411], [0.458, 0.458, 0.123], [0.542, 0.542, 0.877], [0.641, 0.641, 0.589], [0.282, 0.282, 0.663], [0.718, 0.718, 0.337]], "dft_energy_ev_per_atom": -3.638, "dos_at_fermi_per_ev_fu": 3.13, "de_polymorph_kj_per_mol_atoms": 0.0, "ef_ev_per_atom": -0.2693, "magnetic_moment_mub_per_fu": 0.00}

[7]
{"formula": "Tb3TlAg", "functional": "PBE", "state": "optimized geometry", "lattice_angstrom": [[5.976, -3.208, 0.000], [5.976, 3.208, 0.000], [-1.657, 0.000, 14.711]], "species": ["Tb", "Tb", "Tb", "Tb", "Tb", "Tb", "Tb", "Tb", "Tb", "Tb", "Tb", "Tb", "Tl", "Tl", "Tl", "Tl", "Ag", "Ag", "Ag", "Ag"], "fractional_positions": [[0.010, 0.657, 0.204], [0.061, 0.808, 0.894], [0.152, 0.469, 0.598], [0.192, 0.939, 0.606], [0.343, 0.990, 0.296], [0.469, 0.152, 0.098], [0.531, 0.848, 0.902], [0.657, 0.010, 0.704], [0.808, 0.061, 0.394], [0.848, 0.531, 0.402], [0.939, 0.192, 0.106], [0.990, 0.343, 0.796], [0.305, 0.579, 0.410], [0.421, 0.695, 0.090], [0.579, 0.305, 0.910], [0.695, 0.421, 0.590], [0.000, 0.500, 0.000], [0.405, 0.595, 0.750], [0.500, 0.000, 0.500], [0.595, 0.405, 0.250]], "dft_energy_ev_per_atom": -3.927, "dos_at_fermi_per_ev_fu": 5.44, "de_polymorph_kj_per_mol_atoms": 13.1, "ef_ev_per_atom": -0.1051, "magnetic_moment_mub_per_fu": 0.00}

[8]
{"formula": "TbTlAg", "functional": "PBE", "state": "optimized geometry", "lattice_angstrom": [[-1.843, 1.843, 5.499], [1.843, -1.843, 5.499], [1.843, 1.843, -5.499]], "species": ["Tb", "Tl", "Ag"], "fractional_positions": [[0.000, 0.000, 0.000], [0.312, 0.312, 0.000], [0.659, 0.659, 0.000]], "dft_energy_ev_per_atom": -3.447, "dos_at_fermi_per_ev_fu": 2.36, "ef_ev_per_atom": -0.1645, "magnetic_moment_mub_per_fu": 0.00}

[9]
{"formula": "Tb12Tl6Ag", "functional": "PBE", "state": "optimized geometry", "lattice_angstrom": [[6.770, 3.908, 4.113], [-6.770, 3.908, 4.113], [0.000, -7.817, 4.113]], "species": ["Tb", "Tb", "Tb", "Tb", "Tb", "Tb", "Tb", "Tb", "Tb", "Tb", "Tb", "Tb", "Tl", "Tl", "Tl", "Tl", "Tl", "Tl", "Ag"], "fractional_positions": [[0.047, 0.937, 0.681], [0.063, 0.319, 0.953], [0.183, 0.567, 0.428], [0.319, 0.953, 0.063], [0.428, 0.183, 0.567], [0.433, 0.572, 0.817], [0.567, 0.428, 0.183], [0.572, 0.817, 0.433], [0.681, 0.047, 0.937], [0.817, 0.433, 0.572], [0.937, 0.681, 0.047], [0.953, 0.063, 0.319], [0.133, 0.305, 0.621], [0.305, 0.621, 0.133], [0.379, 0.867, 0.695], [0.621, 0.133, 0.305], [0.695, 0.379, 0.867], [0.867, 0.695, 0.379], [0.000, 0.000, 0.000]], "dft_energy_ev_per_atom": -3.798, "dos_at_fermi_per_ev_fu": 21.52, "ef_ev_per_atom": 0.0238, "magnetic_moment_mub_per_fu": 0.00}

[10]
{"formula": "Tb5Tl4Ag", "functional": "PBE", "state": "optimized geometry", "lattice_angstrom": [[3.636, 0.000, 0.000], [0.000, 3.636, 0.000], [0.000, 0.000, 20.396]], "species": ["Tb", "Tb", "Tb", "Tb", "Tb", "Tl", "Tl", "Tl", "Tl", "Ag"], "fractional_positions": [[0.000, 0.000, 0.000], [0.000, 0.000, 0.206], [0.000, 0.000, 0.410], [0.000, 0.000, 0.590], [0.000, 0.000, 0.794], [0.500, 0.500, 0.103], [0.500, 0.500, 0.309], [0.500, 0.500, 0.691], [0.500, 0.500, 0.897], [0.500, 0.500, 0.500]], "dft_energy_ev_per_atom": -3.901, "dos_at_fermi_per_ev_fu": 6.98, "ef_ev_per_atom": -0.3543, "magnetic_moment_mub_per_fu": 0.02}

[11]
{"formula": "Tb6Tl3Ag", "functional": "PBE", "state": "optimized geometry", "lattice_angstrom": [[9.413, 0.000, 0.000], [0.000, 5.325, 0.000], [-3.613, 0.000, 11.117]], "species": ["Tb", "Tb", "Tb", "Tb", "Tb", "Tb", "Tb", "Tb", "Tb", "Tb", "Tb", "Tb", "Tl", "Tl", "Tl", "Tl", "Tl", "Tl", "Ag", "Ag"], "fractional_positions": [[0.036, 0.250, 0.409], [0.167, 0.750, 0.176], [0.265, 0.250, 0.003], [0.351, 0.750, 0.817], [0.368, 0.250, 0.339], [0.401, 0.250, 0.626], [0.599, 0.750, 0.374], [0.632, 0.750, 0.661], [0.649, 0.250, 0.183], [0.735, 0.750, 0.997], [0.833, 0.250, 0.824], [0.964, 0.750, 0.591], [0.028, 0.750, 0.885], [0.125, 0.250, 0.717], [0.277, 0.750, 0.473], [0.723, 0.250, 0.527], [0.875, 0.750, 0.283], [0.972, 0.250, 0.115], [0.453, 0.750, 0.106], [0.547, 0.250, 0.894]], "dft_energy_ev_per_atom": -4.015, "dos_at_fermi_per_ev_fu": 10.80, "ef_ev_per_atom": -0.2421, "magnetic_moment_mub_per_fu": 0.00}

[12]
{"formula": "Tb4Tl3Ag2", "functional": "PBE", "state": "optimized geometry", "lattice_angstrom": [[5.157, 0.000, 0.000], [-2.578, 4.466, 0.000], [0.000, 0.000, 10.358]], "species": ["Tb", "Tb", "Tb", "Tb", "Tl", "Tl", "Tl", "Ag", "Ag"], "fractional_positions": [[0.000, 0.000, 0.175], [0.000, 0.000, 0.825], [0.333, 0.667, 0.612], [0.667, 0.333, 0.388], [0.000, 0.000, 0.500], [0.333, 0.667, 0.945], [0.667, 0.333, 0.055], [0.333, 0.667, 0.313], [0.667, 0.333, 0.687]], "dft_energy_ev_per_atom": -3.733, "dos_at_fermi_per_ev_fu": 6.04, "ef_ev_per_atom": -0.2532, "magnetic_moment_mub_per_fu": 0.00}